Entry from Alexandria: a geometry-optimized CaNiO structure (PBE with a Hubbard U).

Lattice parameters (Å, degrees): 3.5909 3.5909 7.0526 90.00 90.00 120.00
Space group P6_3/mmc (No. 194)
Asymmetric unit:
Ca 0.0000 0.0000 0.0000 (multiplicity 2)
Ni 0.3333 0.6667 0.2500 (multiplicity 2)
O 0.3333 0.6667 0.7500 (multiplicity 2)

Values from the calculation:
Calculated volume in Å³ per atom: 13.13
Final energy in eV for the cell shown: -22.3